[1]
VASP calculation (PBE) on crystalline Sr2MgUTe5 at its relaxed geometry.

Computed properties:
formation energy from raw total energies	-1132	meV per atom
Fermi-level density of states	14.7	states/eV/cell

The structure in CIF format:
```
data_Sr2MgUTe5
_chemical_formula_sum 'Sr8 Mg4 U4 Te20'
_cell_length_a 4.5412
_cell_length_b 19.3536
_cell_length_c 14.1834
_cell_angle_alpha 90.00
_cell_angle_beta 90.00
_cell_angle_gamma 90.00
_symmetry_space_group_name_H-M 'C m c 21'
_symmetry_Int_Tables_number 36
loop_
_symmetry_equiv_pos_as_xyz
'x,y,z'
'-x,-y,z+1/2'
'-x,y,z'
'x,-y,z+1/2'
'x+1/2,y+1/2,z'
'-x+1/2,-y+1/2,z+1/2'
'-x+1/2,y+1/2,z'
'x+1/2,-y+1/2,z+1/2'
loop_
_atom_site_label
_atom_site_fract_x
_atom_site_fract_y
_atom_site_fract_z
Sr1 0.0000 0.1057 0.0000
Sr2 0.0000 0.1248 0.6358
Mg1 0.0000 0.4446 0.7685
U1 0.0000 0.2109 0.3434
Te1 0.0000 0.0561 0.3826
Te2 0.0000 0.2840 0.9901
Te3 0.0000 0.3026 0.6952
Te4 0.0000 0.3668 0.3236
Te5 0.0000 0.4984 0.0930
```

=====

[2]
VASP calculation (PBE) on crystalline KMnI6 at its relaxed geometry.

Computed properties:
polymorph energy (0 for the lowest one)	0.000	eV per atom
formation energy from raw total energies	-503	meV per atom

The structure in CIF format:
```
data_KMnI6
_chemical_formula_sum 'K1 Mn1 I6'
_cell_length_a 6.4623
_cell_length_b 7.7505
_cell_length_c 7.8448
_cell_angle_alpha 105.15
_cell_angle_beta 107.68
_cell_angle_gamma 103.84
_symmetry_space_group_name_H-M 'P -1'
_symmetry_Int_Tables_number 2
loop_
_symmetry_equiv_pos_as_xyz
'x,y,z'
'-x,-y,-z'
loop_
_atom_site_label
_atom_site_fract_x
_atom_site_fract_y
_atom_site_fract_z
K1 0.0000 0.0000 0.0000
Mn1 0.0000 0.5000 0.5000
I1 0.2189 0.1423 0.5438
I2 0.2429 0.5728 0.2921
I3 0.3389 0.7421 0.8247
```

=====

[3]
VASP calculation (PBE) on crystalline Sm2ZnGe3 at its relaxed geometry.

Computed properties:
formation energy	-60.6	kJ/mol of atoms
polymorph energy (0 for the lowest one)	0.000	eV per atom
Fermi-level density of states	1.5	states/eV/cell

The structure in CIF format:
```
data_Sm2ZnGe3
_chemical_formula_sum 'Sm2 Zn1 Ge3'
_cell_length_a 4.0948
_cell_length_b 4.3231
_cell_length_c 7.3208
_cell_angle_alpha 90.00
_cell_angle_beta 90.00
_cell_angle_gamma 90.00
_symmetry_space_group_name_H-M 'P m m 2'
_symmetry_Int_Tables_number 25
loop_
_symmetry_equiv_pos_as_xyz
'x,y,z'
'-x,-y,z'
'-x,y,z'
'x,-y,z'
loop_
_atom_site_label
_atom_site_fract_x
_atom_site_fract_y
_atom_site_fract_z
Sm1 0.0000 0.0000 0.0000
Sm2 0.0000 0.5000 0.4873
Zn1 0.5000 0.5000 0.8214
Ge1 0.5000 0.0000 0.3295
Ge2 0.5000 0.0000 0.6695
Ge3 0.5000 0.5000 0.1539
```

=====

[4]
VASP calculation (PBE) on crystalline NdTm2Al3 at its relaxed geometry.

Computed properties:
formation energy	-36.6	kJ/mol of atoms
Fermi-level density of states	2.3	states/eV/cell

The structure in CIF format:
```
data_NdTm2Al3
_chemical_formula_sum 'Nd1 Tm2 Al3'
_cell_length_a 3.5893
_cell_length_b 3.5893
_cell_length_c 10.9524
_cell_angle_alpha 90.00
_cell_angle_beta 90.00
_cell_angle_gamma 90.00
_symmetry_space_group_name_H-M 'P 4/m m m'
_symmetry_Int_Tables_number 123
_symmetry_space_group_name_Hall '-P 4 2'
loop_
_atom_site_label
_atom_site_fract_x
_atom_site_fract_y
_atom_site_fract_z
Nd1 0.0000 0.0000 0.0000
Tm1 0.0000 0.0000 0.3399
Al1 0.5000 0.5000 0.1825
Al2 0.5000 0.5000 0.5000
```

=====

[5]
VASP calculation (PBE) on crystalline ZnNi2H2 at its relaxed geometry.

Computed properties:
polymorph energy (0 for the lowest one)	0.000	eV per atom
Fermi-level density of states	9.7	states/eV/cell

The structure in CIF format:
```
data_ZnNi2H2
_chemical_formula_sum 'Zn8 Ni16 H16'
_cell_length_a 4.8380
_cell_length_b 7.8075
_cell_length_c 8.6818
_cell_angle_alpha 90.00
_cell_angle_beta 90.00
_cell_angle_gamma 90.00
_symmetry_space_group_name_H-M 'F d d d'
_symmetry_Int_Tables_number 70
loop_
_symmetry_equiv_pos_as_xyz
'x,y,z'
'-x,-y,-z'
'-x+1/4,-y+1/4,z'
'x+1/4,y+1/4,-z'
'x,-y+1/4,-z+1/4'
'-x,y+1/4,z+1/4'
'-x+1/4,y,-z+1/4'
'x+1/4,-y,z+1/4'
'x,y+1/2,z+1/2'
'-x,-y+1/2,-z+1/2'
'-x+1/4,-y+3/4,z+1/2'
'x+1/4,y+3/4,-z+1/2'
'x,-y+3/4,-z+3/4'
'-x,y+3/4,z+3/4'
'-x+1/4,y+1/2,-z+3/4'
'x+1/4,-y+1/2,z+3/4'
'x+1/2,y,z+1/2'
'-x+1/2,-y,-z+1/2'
'-x+3/4,-y+1/4,z+1/2'
'x+3/4,y+1/4,-z+1/2'
'x+1/2,-y+1/4,-z+3/4'
'-x+1/2,y+1/4,z+3/4'
'-x+3/4,y,-z+3/4'
'x+3/4,-y,z+3/4'
'x+1/2,y+1/2,z'
'-x+1/2,-y+1/2,-z'
'-x+3/4,-y+3/4,z'
'x+3/4,y+3/4,-z'
'x+1/2,-y+3/4,-z+1/4'
'-x+1/2,y+3/4,z+1/4'
'-x+3/4,y+1/2,-z+1/4'
'x+3/4,-y+1/2,z+1/4'
loop_
_atom_site_label
_atom_site_fract_x
_atom_site_fract_y
_atom_site_fract_z
Zn1 0.1250 0.1250 0.1250
Ni1 0.1250 0.2933 0.6250
H1 0.1250 0.1250 0.4916
```

=====

[6]
VASP calculation (PBE) on crystalline Pm3Pr3Sm5 at its relaxed geometry.

Computed properties:
formation energy	70.3	kJ/mol of atoms
polymorph energy (0 for the lowest one)	0.019	eV per atom
Fermi-level density of states	20.6	states/eV/cell

The structure in CIF format:
```
data_Pm3Pr3Sm5
_chemical_formula_sum 'Pm3 Pr3 Sm5'
_cell_length_a 9.8325
_cell_length_b 9.8325
_cell_length_c 5.5448
_cell_angle_alpha 90.00
_cell_angle_beta 90.00
_cell_angle_gamma 120.00
_symmetry_space_group_name_H-M 'P -6 2 m'
_symmetry_Int_Tables_number 189
_symmetry_space_group_name_Hall 'P -6 -2'
loop_
_atom_site_label
_atom_site_fract_x
_atom_site_fract_y
_atom_site_fract_z
Pm1 0.0000 0.5706 0.0000
Pr1 0.0000 0.3629 0.5000
Sm1 0.0000 0.7308 0.5000
Sm2 0.3333 0.6667 0.5000
```

=====

[7]
VASP calculation (PBE) on crystalline CaTlAu2 at its relaxed geometry.

Computed properties:
formation energy	-45.5	kJ/mol of atoms
Fermi-level density of states	1.3	states/eV/cell

The structure in CIF format:
```
data_CaTlAu2
_chemical_formula_sum 'Ca1 Tl1 Au2'
_cell_length_a 3.7412
_cell_length_b 3.6819
_cell_length_c 6.8863
_cell_angle_alpha 90.00
_cell_angle_beta 90.19
_cell_angle_gamma 90.00
_symmetry_space_group_name_H-M 'P 1 2/m 1'
_symmetry_Int_Tables_number 10
loop_
_symmetry_equiv_pos_as_xyz
'x,y,z'
'-x,-y,-z'
'-x,y,-z'
'x,-y,z'
loop_
_atom_site_label
_atom_site_fract_x
_atom_site_fract_y
_atom_site_fract_z
Ca1 0.0000 0.0000 0.0000
Tl1 0.0000 0.0000 0.5000
Au1 0.4984 0.5000 0.7635
```

=====

[8]
VASP calculation (PBE) on crystalline Zn2CrCo at its relaxed geometry.

Computed properties:
formation energy	14.8	kJ/mol of atoms
polymorph energy (0 for the lowest one)	0.114	eV per atom
Fermi-level density of states	7.0	states/eV/cell

The structure in CIF format:
```
data_Zn2CrCo
_chemical_formula_sum 'Zn4 Cr2 Co2'
_cell_length_a 8.3301
_cell_length_b 2.5770
_cell_length_c 4.6808
_cell_angle_alpha 90.00
_cell_angle_beta 97.91
_cell_angle_gamma 90.00
_symmetry_space_group_name_H-M 'C 1 m 1'
_symmetry_Int_Tables_number 8
loop_
_symmetry_equiv_pos_as_xyz
'x,y,z'
'x,-y,z'
'x+1/2,y+1/2,z'
'x+1/2,-y+1/2,z'
loop_
_atom_site_label
_atom_site_fract_x
_atom_site_fract_y
_atom_site_fract_z
Zn1 0.0000 0.0000 0.0000
Zn2 0.2455 0.0000 0.7668
Cr1 0.2538 0.5000 0.2895
Co1 0.0003 0.5000 0.4763
```

=====

[9]
VASP calculation (PBE) on crystalline Y2AsS at its relaxed geometry.

Computed properties:
polymorph energy (0 for the lowest one)	0.443	eV per atom
formation energy from raw total energies	-1364	meV per atom
Fermi-level density of states	14.1	states/eV/cell

The structure in CIF format:
```
data_Y2AsS
_chemical_formula_sum 'Y8 As4 S4'
_cell_length_a 7.0236
_cell_length_b 7.0236
_cell_length_c 7.0236
_cell_angle_alpha 90.00
_cell_angle_beta 90.00
_cell_angle_gamma 90.00
_symmetry_space_group_name_H-M 'F m -3 m'
_symmetry_Int_Tables_number 225
_symmetry_space_group_name_Hall '-F 4 2 3'
loop_
_atom_site_label
_atom_site_fract_x
_atom_site_fract_y
_atom_site_fract_z
Y1 0.2500 0.2500 0.2500
As1 0.0000 0.0000 0.0000
S1 0.0000 0.0000 0.5000
```

=====

[10]
VASP calculation (PBE) on crystalline Na3Sr2Ca2 at its relaxed geometry.

Computed properties:
formation energy	5.1	kJ/mol of atoms
polymorph energy (0 for the lowest one)	0.000	eV per atom
Fermi-level density of states	10.3	states/eV/cell

The structure in CIF format:
```
data_Na3Sr2Ca2
_chemical_formula_sum 'Na6 Sr4 Ca4'
_cell_length_a 6.1870
_cell_length_b 26.3209
_cell_length_c 3.8892
_cell_angle_alpha 90.00
_cell_angle_beta 90.00
_cell_angle_gamma 90.00
_symmetry_space_group_name_H-M 'C m m m'
_symmetry_Int_Tables_number 65
_symmetry_space_group_name_Hall '-C 2 2'
loop_
_atom_site_label
_atom_site_fract_x
_atom_site_fract_y
_atom_site_fract_z
Na1 0.0000 0.0000 0.0000
Na2 0.0000 0.4302 0.5000
Sr1 0.0000 0.1472 0.0000
Ca1 0.0000 0.2869 0.5000
```

=====

[11]
VASP calculation (PBE) on crystalline Ba4Th3UN8 at its relaxed geometry.

Computed properties:
formation energy from raw total energies	-1166	meV per atom
Fermi-level density of states	19.9	states/eV/cell

The structure in CIF format:
```
data_Ba4Th3UN8
_chemical_formula_sum 'Ba12 Th9 U3 N24'
_cell_length_a 7.4481
_cell_length_b 7.4481
_cell_length_c 19.4101
_cell_angle_alpha 90.00
_cell_angle_beta 90.00
_cell_angle_gamma 120.00
_symmetry_space_group_name_H-M 'R -3 m'
_symmetry_Int_Tables_number 166
_symmetry_space_group_name_Hall '-R 3 2"'
loop_
_atom_site_label
_atom_site_fract_x
_atom_site_fract_y
_atom_site_fract_z
Ba1 0.0000 0.0000 0.0000
Ba2 0.0000 0.5000 0.0000
Th1 0.0000 0.5000 0.5000
U1 0.0000 0.0000 0.5000
N1 0.0000 0.0000 0.2275
N2 0.0286 0.5143 0.2257
```

=====

[12]
VASP calculation (PBE) on crystalline TeIrPt4 at its relaxed geometry.

Computed properties:
formation energy from raw total energies	438	meV per atom
Fermi-level density of states	22.1	states/eV/cell

The structure in CIF format:
```
data_TeIrPt4
_chemical_formula_sum 'Te4 Ir4 Pt16'
_cell_length_a 7.5017
_cell_length_b 7.5017
_cell_length_c 7.5017
_cell_angle_alpha 90.00
_cell_angle_beta 90.00
_cell_angle_gamma 90.00
_symmetry_space_group_name_H-M 'F -4 3 m'
_symmetry_Int_Tables_number 216
_symmetry_space_group_name_Hall 'F -4 2 3'
loop_
_atom_site_label
_atom_site_fract_x
_atom_site_fract_y
_atom_site_fract_z
Te1 0.0000 0.0000 0.0000
Ir1 0.2500 0.2500 0.2500
Pt1 0.1244 0.1244 0.6244
```

=====

DFT total energy, respectively: -4.6825 -2.9492 -4.7224 -4.5354 -4.0200 -4.0156 -3.2017 -4.6664 -6.7902 -1.5646 -7.9065 -5.5896 eV/atom.
Volume, respectively: 34.6 42.4 21.6 23.5 8.2 42.2 23.7 12.4 21.7 45.2 19.4 17.6 Å³/atom.